# 1
PBE+U Rb2FeI6O, relaxed; space group = No. 139; calculated volume = 376.62 Å³/f.u.; energy = -2.675 eV/atom
1.0
-2.2130 2.9863 6.7861
-5.1224 -5.7357 0.8536
0.6903 -4.8291 6.7612
I O Fe Rb
6 1 1 2
Direct
0.7249 0.7249 0.0000 I
0.7860 0.7860 0.4281 I
0.2751 0.7249 0.0000 I
0.7249 0.2751 0.0000 I
0.2140 0.2140 0.5719 I
0.2751 0.2751 0.0000 I
0.5000 0.5000 0.0000 O
0.0000 0.0000 0.0000 Fe
0.7500 0.2500 0.5000 Rb
0.2500 0.7500 0.5000 Rb

# 2
PBE+U RbFeI2O8, relaxed; space group = No. 12; calculated volume = 226.43 Å³/f.u.; energy = -4.697 eV/atom
1.0
5.7207 0.0000 0.0000
2.8604 5.0184 0.0252
2.8604 1.9135 7.8969
O I Fe Rb
8 2 1 1
Direct
0.1871 0.6017 0.0242 O
0.8250 0.7254 0.6246 O
0.8258 0.0308 0.8169 O
0.1750 0.2746 0.3754 O
0.8129 0.3983 0.9758 O
0.1742 0.9692 0.1831 O
0.3265 0.0308 0.8169 O
0.6735 0.9692 0.1831 O
0.6942 0.7759 0.8357 I
0.3058 0.2241 0.1643 I
0.0000 0.0000 0.0000 Fe
0.5000 0.5000 0.5000 Rb